Below is a relaxed Dy3NbO7 crystal, with properties calculated at the GGA-PBE level.

Geometry as CIF:
```
data_Dy3NbO7
_space_group_name_H-M_alt 'C m m e'
_space_group_IT_number 67
_space_group_name_Hall '-C 2a 2'
_cell_length_a 7.495
_cell_length_b 14.500
_cell_length_c 5.368
_cell_angle_alpha 90.00
_cell_angle_beta 90.00
_cell_angle_gamma 90.00
loop_
_atom_site_label
_atom_site_fract_x
_atom_site_fract_y
_atom_site_fract_z
Dy1 0.000 0.120 0.029
Dy2 0.250 0.250 0.500
Nb1 0.250 0.000 0.500
O1 0.000 0.012 0.287
O2 0.000 0.250 0.257
O3 0.218 0.120 0.737
```

Results
Energy relative to the elements, uncorrected in eV per formula unit: -33.877
Raw total energy in eV per atom: -8.41